## NdSm2Pd2 (PBE-GGA)

Data for crystalline NdSm2Pd2 at its relaxed geometry.

Cell: 4.7636 4.7636 6.7950 Å, 109.26 109.26 90.05°
Last column: nearest neighbours and their distance in Å.
Positions (direct):
Nd 0.0000 0.0000 0.0000  8 Pd 3.51-3.72, 8 Sm 3.80-3.88
Sm 0.2512 0.7488 0.5000  4 Pd 2.92
Sm 0.7488 0.2512 0.5000  4 Pd 2.92
Pd 0.3808 0.3808 0.7811  1 Pd 2.64, 4 Sm 2.92
Pd 0.6192 0.6192 0.2189  1 Pd 2.64, 4 Sm 2.92

Output
E above lowest polymorph	185	meV/atom
space-group type	C2/m (12)
ΔE_f	-0.4642	eV per atom
VASP energy	-5.383	eV/atom
size of the total moment	0.00	μB per formula unit


## Nd3Sm4Pd4 (PBE-GGA)

Data for crystalline Nd3Sm4Pd4 at its relaxed geometry.

Cell: 9.1308 9.1308 9.1308 Å, 149.11 130.29 59.68°
Last column: nearest neighbours and their distance in Å.
Positions (direct):
Nd 0.0000 0.0000 0.0000  6 Pd 3.21-3.44
Nd 0.3992 0.8992 0.5000  1 Nd 3.19, 4 Pd 3.23, 4 Sm 3.43
Nd 0.6008 0.1008 0.5000  1 Nd 3.19, 4 Pd 3.23, 4 Sm 3.43
Sm 0.0488 0.3293 0.7195  4 Pd 2.81-3.00
Sm 0.3902 0.6707 0.7195  4 Pd 2.81-3.00
Sm 0.6098 0.3293 0.2805  4 Pd 2.81-3.00
Sm 0.9512 0.6707 0.2805  4 Pd 2.81-3.00
Pd 0.2026 0.2026 0.0000  6 Sm 2.94-3.00, 1 Nd 3.21
Pd 0.3167 0.5000 0.8167  2 Sm 2.81, 1 Pd 2.81
Pd 0.6833 0.5000 0.1833  2 Sm 2.81, 1 Pd 2.81
Pd 0.7974 0.7974 0.0000  6 Sm 2.94-3.00, 1 Nd 3.21

Output
space-group type	Immm (71)
ΔE_f	-0.5159	eV per atom
VASP energy	-5.421	eV/atom
size of the total moment	0.00	μB per formula unit


## Nd2Sm3Pd2 (PBE-GGA)

Data for crystalline Nd2Sm3Pd2 at its relaxed geometry.

Cell: 6.6124 6.6124 9.2546 Å, 115.17 115.17 33.68°
Last column: nearest neighbours and their distance in Å.
Positions (direct):
Nd 0.1560 0.1560 0.3117  2 Pd 3.14
Nd 0.8440 0.8440 0.6883  2 Pd 3.14
Sm 0.3846 0.3846 0.0586  3 Pd 2.97-3.05
Sm 0.5000 0.5000 0.5000  4 Pd 2.95
Sm 0.6154 0.6154 0.9414  3 Pd 2.97-3.05
Pd 0.1652 0.1652 0.7348  5 Sm 2.95-3.05, 2 Nd 3.14
Pd 0.8348 0.8348 0.2652  5 Sm 2.95-3.05, 2 Nd 3.14

Output
space-group type	C2/m (12)
ΔE_f	-0.4704	eV per atom
VASP energy	-5.339	eV/atom
size of the total moment	0.00	μB per formula unit


## Nd4Sm3Pd2 (PBE-GGA)

Data for crystalline Nd4Sm3Pd2 at its relaxed geometry.

Cell: 8.7747 8.7747 9.2785 Å, 111.94 111.94 25.27°
Last column: nearest neighbours and their distance in Å.
Positions (direct):
Nd 0.1279 0.1279 0.3833  5 Nd 3.71-3.96, 6 Sm 3.76-3.89, 2 Pd 4.02-4.12
Nd 0.2678 0.2678 0.8355  3 Pd 2.95-3.10
Nd 0.7322 0.7322 0.1645  3 Pd 2.95-3.10
Nd 0.8721 0.8721 0.6167  5 Nd 3.71-3.96, 6 Sm 3.76-3.89, 2 Pd 4.02-4.12
Sm 0.4278 0.4278 0.3210  2 Pd 2.97, 1 Sm 3.29
Sm 0.5000 0.5000 0.0000  4 Pd 2.97
Sm 0.5722 0.5722 0.6790  2 Pd 2.97, 1 Sm 3.29
Pd 0.1169 0.1169 0.9424  3 Nd 2.95-3.10, 4 Sm 2.97
Pd 0.8831 0.8831 0.0576  3 Nd 2.95-3.10, 4 Sm 2.97

Output
space-group type	C2/m (12)
ΔE_f	-0.3070	eV per atom
VASP energy	-5.153	eV/atom
size of the total moment	0.00	μB per formula unit


Please write out number 2 again, unchanged.
## Nd3Sm4Pd4 (PBE-GGA)

Data for crystalline Nd3Sm4Pd4 at its relaxed geometry.

Cell: 9.1308 9.1308 9.1308 Å, 149.11 130.29 59.68°
Last column: nearest neighbours and their distance in Å.
Positions (direct):
Nd 0.0000 0.0000 0.0000  6 Pd 3.21-3.44
Nd 0.3992 0.8992 0.5000  1 Nd 3.19, 4 Pd 3.23, 4 Sm 3.43
Nd 0.6008 0.1008 0.5000  1 Nd 3.19, 4 Pd 3.23, 4 Sm 3.43
Sm 0.0488 0.3293 0.7195  4 Pd 2.81-3.00
Sm 0.3902 0.6707 0.7195  4 Pd 2.81-3.00
Sm 0.6098 0.3293 0.2805  4 Pd 2.81-3.00
Sm 0.9512 0.6707 0.2805  4 Pd 2.81-3.00
Pd 0.2026 0.2026 0.0000  6 Sm 2.94-3.00, 1 Nd 3.21
Pd 0.3167 0.5000 0.8167  2 Sm 2.81, 1 Pd 2.81
Pd 0.6833 0.5000 0.1833  2 Sm 2.81, 1 Pd 2.81
Pd 0.7974 0.7974 0.0000  6 Sm 2.94-3.00, 1 Nd 3.21

Output
space-group type	Immm (71)
ΔE_f	-0.5159	eV per atom
VASP energy	-5.421	eV/atom
size of the total moment	0.00	μB per formula unit


Question: The highest VASP energy belongs to which entry?
Answer: Nd4Sm3Pd2